[1]
# LaCe4Ho

Crystalline LaCe4Ho at its relaxed geometry (GGA-PBE, Alexandria via LeMat-Bulk).

## Properties
Energy relative to the elements, meV/atom: 193

a = 6.3464 Å, b = 6.3464 Å, c = 6.3464 Å
α = 60.00°, β = 60.00°, γ = 60.00°
Last column: magnetic moment on the atom in μB.
Fractional coordinates of all 6 atoms:
Ce1 0.6298 0.6298 0.6298  0.68
La1 0.2500 0.2500 0.2500  0.04
Ho1 0.0000 0.0000 0.0000  0.11
Ce2 0.6298 0.6298 0.1106  0.68
Ce3 0.6298 0.1106 0.6298  0.68
Ce4 0.1106 0.6298 0.6298  0.68

***

[2]
# La12CeHo6

Crystalline La12CeHo6 at its relaxed geometry (GGA-PBE, Alexandria via LeMat-Bulk).

## Properties
Energy relative to the elements, meV/atom: 38

a = 9.6974 Å, b = 9.6974 Å, c = 9.6974 Å
α = 110.91°, β = 110.91°, γ = 110.91°
Last column: magnetic moment on the atom in μB.
Fractional coordinates of all 19 atoms:
La1 0.2598 0.8975 0.8448  0.02
La2 0.8448 0.2598 0.8975  0.02
La3 0.4197 0.6271 0.9420  0.00
La4 0.0580 0.5803 0.3729  0.00
Ho1 0.6832 0.5307 0.7852  0.04
La5 0.9420 0.4197 0.6271  0.00
La6 0.7402 0.1025 0.1552  0.02
La7 0.8975 0.8448 0.2598  0.02
Ho2 0.2148 0.3168 0.4693  0.04
Ho3 0.3168 0.4693 0.2148  0.04
Ho4 0.4693 0.2148 0.3168  0.04
La8 0.3729 0.0580 0.5803  0.00
Ho5 0.5307 0.7852 0.6832  0.04
La9 0.1025 0.1552 0.7402  0.02
La10 0.1552 0.7402 0.1025  0.02
Ce1 0.0000 0.0000 0.0000  0.84
La11 0.5803 0.3729 0.0580  0.00
La12 0.6271 0.9420 0.4197  0.00
Ho6 0.7852 0.6832 0.5307  0.04

***

[3]
# La2CeHo

Crystalline La2CeHo at its relaxed geometry (GGA-PBE, Alexandria via LeMat-Bulk).

## Properties
Energy relative to the elements, meV/atom: 76
Energy above the lowest structure with this stoichiometry, meV per atom: 13

a = 5.0675 Å, b = 5.1380 Å, c = 5.1380 Å
α = 90.00°, β = 90.00°, γ = 90.00°
Last column: magnetic moment on the atom in μB.
Fractional coordinates of all 4 atoms:
Ho1 0.5000 0.5000 0.5000  0.02
La1 0.0000 0.5000 0.0000  0.02
Ce1 0.5000 0.0000 0.0000  0.72
La2 0.0000 0.0000 0.5000  0.02

***

[4]
# La2CeHo6

Crystalline La2CeHo6 at its relaxed geometry (GGA-PBE, Alexandria via LeMat-Bulk).

## Properties
Energy relative to the elements, meV/atom: 85

a = 6.9528 Å, b = 10.4256 Å, c = 10.4256 Å
α = 56.32°, β = 70.62°, γ = 70.62°
Last column: magnetic moment on the atom in μB.
Fractional coordinates of all 18 atoms:
Ho1 0.8347 0.0000 0.3307  -0.03
Ce1 0.7500 0.0000 0.0000  -0.75
Ho2 0.5000 0.6693 0.3307  -0.03
Ho3 0.0000 0.3307 0.6693  -0.03
La1 0.5832 0.6668 0.6666  0.01
Ho4 0.8346 0.3305 0.0002  -0.03
Ho5 0.6653 0.6693 0.0000  -0.03
Ho6 0.1654 0.6695 0.9998  -0.03
Ho7 0.6654 0.9998 0.6695  -0.03
Ho8 0.0000 0.6693 0.3307  -0.03
Ho9 0.3346 0.0002 0.3305  -0.03
Ho10 0.5000 0.3307 0.6693  -0.03
La2 0.0832 0.6666 0.6668  0.01
Ce2 0.2500 0.0000 0.0000  -0.75
La3 0.9168 0.3334 0.3332  0.01
Ho11 0.1653 0.0000 0.6693  -0.03
Ho12 0.3347 0.3307 0.0000  -0.03
La4 0.4168 0.3332 0.3334  0.01

***

Electronic total energy per entry: -5.347; -4.832; -5.016; -4.721 eV/atom